This record from the Alexandria database describes SrPt2W after structural relaxation. The functional is PBE-GGA.

SG: Fm-3m (225)
Spin magnetization, μB per cell: 0.0
Crystal system: cubic
Energy relative to the lowest polymorph listed for this composition, meV per atom: 529
Uncorrected energy, Ha/atom: -0.2334
E_form, eV/atom: 0.33

a b c (Å): 4.7863 4.7863 4.7863
angles (deg): 60.00 60.00 60.00
Atoms (fractional coordinates):
Pt (0.2500, 0.2500, 0.2500)
Pt (0.7500, 0.7500, 0.7500)
W (0.5000, 0.5000, 0.5000)
Sr (0.0000, 0.0000, 0.0000)